No. 1
First-principles (PBE-GGA) data for a relaxed structure of NdZnCuNi, as listed in Alexandria via LeMat-Bulk.

a b c (Å): 6.553 6.553 6.553
angles (deg): 90.00 90.00 90.00
Space group F-43m (No. 216)
Asymmetric unit:
Nd 0.000 0.000 0.000 (multiplicity 4)
Zn 0.000 0.000 0.500 (multiplicity 4)
Cu 0.250 0.250 0.250 (multiplicity 4)
Ni 0.250 0.250 0.750 (multiplicity 4)

## Properties
* ΔH_f (0 K): -0.132 eV per atom
* density: 7.83 Mg/m³

***

No. 2
First-principles (PBE-GGA) data for a relaxed structure of Er2BiH, as listed in Alexandria via LeMat-Bulk.

a b c (Å): 7.765 6.414 7.495
angles (deg): 90.00 99.87 90.00
Space group P2_1/c (No. 14)
Asymmetric unit:
Er 0.055 0.138 0.323 (multiplicity 4)
Er 0.314 0.663 0.519 (multiplicity 4)
Bi 0.350 0.125 0.672 (multiplicity 4)
H 0.064 0.682 0.925 (multiplicity 4)

## Properties
* energy: -4.647 eV/atom
* density: 9.83 Mg/m³

***

No. 3
First-principles (PBE-GGA) data for a relaxed structure of MgOs2W, as listed in Alexandria via LeMat-Bulk.

a b c (Å): 2.769 2.769 8.244
angles (deg): 90.00 90.00 90.00
Space group P4mm (No. 99)
Asymmetric unit:
Mg 0.000 0.000 0.000 (multiplicity 1)
Os 0.000 0.000 0.462 (multiplicity 1)
Os 0.500 0.500 0.254 (multiplicity 1)
W 0.500 0.500 0.720 (multiplicity 1)

## Properties
* ΔH_f (0 K): 0.250 eV per atom
* density: 15.46 Mg/m³

***

No. 4
First-principles (PBE-GGA) data for a relaxed structure of PtW4Se, as listed in Alexandria via LeMat-Bulk.

a b c (Å): 7.496 7.496 7.496
angles (deg): 90.00 90.00 90.00
Space group F-43m (No. 216)
Asymmetric unit:
Pt 0.000 0.000 0.000 (multiplicity 4)
W 0.125 0.125 0.375 (multiplicity 16)
Se 0.250 0.250 0.750 (multiplicity 4)

## Properties
* formation energy (no corrections): 775 meV/atom
* density: 15.92 Mg/m³